Li6Mg5Ag: relaxed, PBE.

The structure belongs to space group Immm (No. 71); the cell edges are 4.262, 8.598 and 12.959 Å and the angles 90.00°, 90.00° and 90.00°. Symmetry generates all atoms from Li at (0.000, 0.246, 0.000), Li at (0.000, 0.254, 0.337), Mg at (0.000, 0.000, 0.155), Mg at (0.000, 0.000, 0.500), Mg at (0.000, 0.500, 0.169) and Ag at (0.000, 0.500, 0.500).

The total energy comes out at -23.19 eV per formula unit. The calculation puts the formation energy at -0.07 eV per atom. The calculated volume comes out at 19.79 Å³/atom.

---

Ho4ZnNi2: relaxed, PBE.

The structure belongs to space group R-3m (No. 166, hexagonal axes); the cell edges are 4.6947, 4.6947 and 25.6559 Å and the angles 90.00°, 90.00° and 120.00°. Symmetry generates all atoms from Ho at (0.0000, 0.0000, 0.1174), Ho at (0.0000, 0.0000, 0.2951), Zn at (0.0000, 0.0000, 0.5000) and Ni at (0.0000, 0.0000, 0.4054).

The total energy comes out at -32.81 eV per formula unit. The calculation puts the formation energy at -0.24 eV per atom. The calculated volume comes out at 23.32 Å³/atom.

---

EuPuCdHg: relaxed, PBE.

The structure belongs to space group F-43m (No. 216); the cell edges are 7.706, 7.706 and 7.706 Å and the angles 90.00°, 90.00° and 90.00°. Symmetry generates all atoms from Eu at (0.000, 0.000, 0.000), Pu at (0.000, 0.000, 0.500), Cd at (0.250, 0.250, 0.250) and Hg at (0.250, 0.250, 0.750).

The total energy comes out at -26.54 eV per formula unit. The calculation puts the formation energy at -0.18 eV per atom. The calculated volume comes out at 28.60 Å³/atom.

---

HfTh3N: relaxed, PBE.

The structure belongs to space group Pm-3m (No. 221); the cell edges are 5.006, 5.006 and 5.006 Å and the angles 90.00°, 90.00° and 90.00°. Symmetry generates all atoms from Hf at (0.000, 0.000, 0.000), Th at (0.000, 0.500, 0.500) and N at (0.500, 0.500, 0.500).

The total energy comes out at -43.28 eV per formula unit. Its uncorrected formation energy is -0.5478 eV per atom. The calculated volume comes out at 25.08 Å³/atom.

---

Ce4PmGa5: relaxed, PBE.

The structure belongs to space group P4/mmm (No. 123); the cell edges are 3.329, 3.329 and 21.015 Å and the angles 90.00°, 90.00° and 90.00°. Symmetry generates all atoms from Ce at (0.000, 0.000, 0.100), Ce at (0.000, 0.000, 0.300), Pm at (0.000, 0.000, 0.500), Ga at (0.500, 0.500, 0.000), Ga at (0.500, 0.500, 0.200) and Ga at (0.500, 0.500, 0.399).

The total energy comes out at -48.60 eV per formula unit. The calculation puts the formation energy at -0.50 eV per atom. The calculated volume comes out at 23.28 Å³/atom.

---

CrP2NCl: relaxed, PBE.

The structure belongs to space group P4/mmm (No. 123); the cell edges are 3.664, 3.664 and 5.507 Å and the angles 90.00°, 90.00° and 90.00°. Symmetry generates all atoms from Cr at (0.000, 0.000, 0.000), P at (0.000, 0.500, 0.500), N at (0.500, 0.500, 0.500) and Cl at (0.500, 0.500, 0.000).

The total energy comes out at -24.65 eV per formula unit. Its uncorrected formation energy is 1.1936 eV per atom. The energy above the most stable polymorph in this dataset comes out at 0 meV per atom. The calculated volume comes out at 14.79 Å³/atom.

---

HoMgZn5Cu2: relaxed, PBE.

The structure belongs to space group P4/mmm (No. 123); the cell edges are 4.599, 4.599 and 7.361 Å and the angles 90.00°, 90.00° and 90.00°. Symmetry generates all atoms from Ho at (0.000, 0.000, 0.000), Mg at (0.000, 0.000, 0.500), Zn at (0.000, 0.500, 0.250), Zn at (0.500, 0.500, 0.000) and Cu at (0.500, 0.500, 0.341).

The total energy comes out at -21.19 eV per formula unit. The calculation puts the formation energy at -0.05 eV per atom. The calculated volume comes out at 17.30 Å³/atom.

---

Nd5Mg2Pb4: relaxed, PBE.

The structure belongs to space group C2/m (No. 12); the cell edges are 21.988, 4.563 and 7.787 Å and the angles 90.00°, 110.39° and 90.00°. Symmetry generates all atoms from Nd at (0.000, 0.000, 0.000), Nd at (0.160, 0.500, 0.925), Nd at (0.161, 0.500, 0.400), Mg at (0.073, 0.000, 0.576), Pb at (0.000, 0.500, 0.291) and Pb at (0.213, 0.000, 0.714).

The total energy comes out at -44.32 eV per formula unit. The calculation puts the formation energy at -0.22 eV per atom. The calculated volume comes out at 33.29 Å³/atom.

---

KLa2Tl: relaxed, PBE.

The structure belongs to space group Cm (No. 8); the cell edges are 11.883, 3.629 and 6.978 Å and the angles 90.00°, 98.50° and 90.00°. Symmetry generates all atoms from K at (0.000, 0.000, 0.000), La at (0.031, 0.500, 0.525), La at (0.271, 0.500, 0.336) and Tl at (0.260, 0.000, 0.757).

The total energy comes out at -12.80 eV per formula unit. The calculation puts the formation energy at 0.13 eV per atom. The energy above the most stable polymorph in this dataset comes out at 146 meV per atom. The calculated volume comes out at 37.20 Å³/atom.

---

Tb5Pm4Sm3: relaxed, PBE.

The structure belongs to space group C2/m (No. 12); the cell edges are 16.181, 5.977 and 9.375 Å and the angles 90.00°, 116.12° and 90.00°. Symmetry generates all atoms from Tb at (0.000, 0.000, 0.000), Tb at (0.073, 0.500, 0.699), Tb at (0.172, 0.500, 0.388), Pm at (0.083, 0.000, 0.443), Pm at (0.212, 0.000, 0.880), Sm at (0.000, 0.500, 0.000) and Sm at (0.209, 0.000, 0.231).

The total energy comes out at -53.71 eV per formula unit. The calculation puts the formation energy at 0.22 eV per atom. The energy above the most stable polymorph in this dataset comes out at 204 meV per atom. The calculated volume comes out at 33.92 Å³/atom.

---

InSbAu: relaxed, PBE.

The structure belongs to space group Fmm2 (No. 42); the cell edges are 4.310, 5.164 and 13.014 Å and the angles 90.00°, 90.00° and 90.00°. Symmetry generates all atoms from In at (0.000, 0.000, 0.000), Sb at (0.000, 0.000, 0.701) and Au at (0.000, 0.000, 0.353).

The total energy comes out at -10.04 eV per formula unit. Its uncorrected formation energy is 0.0338 eV per atom. The calculated volume comes out at 24.14 Å³/atom.

---

Ac8Pm3: relaxed, PBE.

The structure belongs to space group R-3 (No. 148, hexagonal axes); the cell edges are 13.2604, 13.2604 and 9.6551 Å and the angles 90.00°, 90.00° and 120.00°. Symmetry generates all atoms from Ac at (0.0000, 0.0000, 0.2396), Ac at (0.0346, 0.5789, 0.1552) and Pm at (0.0000, 0.5000, 0.5000).

The total energy comes out at -42.98 eV per formula unit. The calculation puts the formation energy at 0.38 eV per atom. The calculated volume comes out at 44.55 Å³/atom.

---

Pr4Nd3Ho8: relaxed, PBE.

The structure belongs to space group C2/m (No. 12); the cell edges are 13.531, 12.931 and 6.819 Å and the angles 90.00°, 120.21° and 90.00°. Symmetry generates all atoms from Pr at (0.000, 0.000, 0.000), Pr at (0.000, 0.000, 0.500), Pr at (0.250, 0.250, 0.000), Nd at (0.000, 0.500, 0.000), Nd at (0.250, 0.250, 0.500), Ho at (0.000, 0.258, 0.000), Ho at (0.000, 0.361, 0.500), Ho at (0.231, 0.500, 0.492) and Ho at (0.231, 0.500, 0.969).

The total energy comes out at -64.77 eV per formula unit. The calculation puts the formation energy at 0.35 eV per atom. The calculated volume comes out at 34.37 Å³/atom.

---

Li2PaTi3Se6: relaxed, PBE.

The structure belongs to space group C2/m (No. 12); the cell edges are 6.582, 11.411 and 6.616 Å and the angles 90.00°, 109.19° and 90.00°. Symmetry generates all atoms from Li at (0.000, 0.177, 0.000), Pa at (0.000, 0.500, 0.000), Ti at (0.000, 0.000, 0.500), Ti at (0.000, 0.366, 0.500), Se at (0.219, 0.000, 0.240) and Se at (0.240, 0.174, 0.728).

The total energy comes out at -72.07 eV per formula unit. Its uncorrected formation energy is -1.1793 eV per atom. The calculated volume comes out at 19.55 Å³/atom.

---

SmHoZr2: relaxed, PBE.

The structure belongs to space group P4/mmm (No. 123); the cell edges are 3.949, 3.949 and 6.915 Å and the angles 90.00°, 90.00° and 90.00°. Symmetry generates all atoms from Sm at (0.000, 0.000, 0.000), Ho at (0.000, 0.000, 0.500) and Zr at (0.500, 0.500, 0.274).

The total energy comes out at -25.48 eV per formula unit. The calculation puts the formation energy at 0.23 eV per atom. The energy above the most stable polymorph in this dataset comes out at 82 meV per atom. The calculated volume comes out at 26.96 Å³/atom.

---

KCoSb2: relaxed, PBE.

The structure belongs to space group F-43m (No. 216); the cell edges are 7.428, 7.428 and 7.428 Å and the angles 90.00°, 90.00° and 90.00°. Symmetry generates all atoms from K at (0.000, 0.000, 0.000), Co at (0.250, 0.250, 0.750), Sb at (0.000, 0.000, 0.500) and Sb at (0.250, 0.250, 0.250).

The total energy comes out at -14.00 eV per formula unit. Its uncorrected formation energy is 0.6130 eV per atom. The energy above the most stable polymorph in this dataset comes out at 789 meV per atom. The calculated volume comes out at 25.62 Å³/atom.

---

MnHAu2: relaxed, PBE.

The structure belongs to space group Fm-3m (No. 225); the cell edges are 6.207, 6.207 and 6.207 Å and the angles 90.00°, 90.00° and 90.00°. Symmetry generates all atoms from Mn at (0.000, 0.000, 0.000), H at (0.000, 0.000, 0.500) and Au at (0.250, 0.250, 0.250).

The total energy comes out at -16.99 eV per formula unit. The energy above the most stable polymorph in this dataset comes out at 282 meV per atom. The calculated volume comes out at 14.94 Å³/atom.

---

TbPr2HoBi5: relaxed, PBE.

The structure belongs to space group P4/mmm (No. 123); the cell edges are 5.421, 5.421 and 11.972 Å and the angles 90.00°, 90.00° and 90.00°. Symmetry generates all atoms from Tb at (0.000, 0.000, 0.000), Pr at (0.500, 0.500, 0.275), Ho at (0.000, 0.000, 0.500), Bi at (0.000, 0.000, 0.247), Bi at (0.000, 0.500, 0.500) and Bi at (0.500, 0.500, 0.000).

The total energy comes out at -39.61 eV per formula unit. The calculation puts the formation energy at -0.16 eV per atom. The calculated volume comes out at 39.10 Å³/atom.

---

ThAlIn2: relaxed, PBE.

The structure belongs to space group R-3m (No. 166, hexagonal axes); the cell edges are 3.3855, 3.3855 and 33.0625 Å and the angles 90.00°, 90.00° and 120.00°. Symmetry generates all atoms from Th at (0.0000, 0.0000, 0.0000), Al at (0.0000, 0.0000, 0.5000) and In at (0.0000, 0.0000, 0.0989).

The total energy comes out at -15.67 eV per formula unit. The calculation puts the formation energy at 0.24 eV per atom. The energy above the most stable polymorph in this dataset comes out at 544 meV per atom. The calculated volume comes out at 27.35 Å³/atom.

---

La2Pm2YTm2: relaxed, PBE.

The structure belongs to space group C2/m (No. 12); the cell edges are 11.479, 5.138 and 8.068 Å and the angles 90.00°, 98.44° and 90.00°. Symmetry generates all atoms from La at (0.144, 0.000, 0.429), Pm at (0.071, 0.500, 0.721), Y at (0.000, 0.000, 0.000) and Tm at (0.216, 0.500, 0.138).

The total energy comes out at -34.56 eV per formula unit. The calculation puts the formation energy at 0.03 eV per atom. The calculated volume comes out at 33.62 Å³/atom.

---

TbSm4Ga: relaxed, PBE.

The structure belongs to space group C2/c (No. 15); the cell edges are 8.921, 13.716 and 6.386 Å and the angles 90.00°, 108.86° and 90.00°. Symmetry generates all atoms from Tb at (0.000, 0.095, 0.250), Sm at (0.101, 0.319, 0.549), Sm at (0.222, 0.111, 0.877) and Ga at (0.000, 0.500, 0.250).

The total energy comes out at -27.12 eV per formula unit. The calculation puts the formation energy at -0.10 eV per atom. The calculated volume comes out at 30.81 Å³/atom.

---

BaBe2Si: relaxed, PBE.

The structure belongs to space group P4/mmm (No. 123); the cell edges are 4.520, 4.520 and 4.024 Å and the angles 90.00°, 90.00° and 90.00°. Symmetry generates all atoms from Ba at (0.000, 0.000, 0.000), Be at (0.000, 0.500, 0.500) and Si at (0.500, 0.500, 0.000).

The total energy comes out at -11.10 eV per formula unit. Its uncorrected formation energy is 0.9245 eV per atom. The calculated volume comes out at 20.55 Å³/atom.

---

Sm4HCO2: relaxed, PBE.

The structure belongs to space group P2/m (No. 10); the cell edges are 6.175, 3.627 and 6.178 Å and the angles 90.00°, 108.40° and 90.00°. Symmetry generates all atoms from Sm at (0.235, 0.000, 0.234), Sm at (0.243, 0.500, 0.747), H at (0.500, 0.500, 0.500), C at (0.000, 0.000, 0.500), O at (0.000, 0.500, 0.000) and O at (0.500, 0.000, 0.000).

The total energy comes out at -53.96 eV per formula unit. The calculated volume comes out at 16.41 Å³/atom.

---

Tm5ZnPd4: relaxed, PBE.

The structure belongs to space group P4/mmm (No. 123); the cell edges are 3.478, 3.478 and 17.295 Å and the angles 90.00°, 90.00° and 90.00°. Symmetry generates all atoms from Tm at (0.000, 0.000, 0.000), Tm at (0.000, 0.000, 0.199), Tm at (0.000, 0.000, 0.398), Zn at (0.500, 0.500, 0.500), Pd at (0.500, 0.500, 0.100) and Pd at (0.500, 0.500, 0.300).

The total energy comes out at -52.62 eV per formula unit. The calculation puts the formation energy at -0.82 eV per atom. The calculated volume comes out at 20.92 Å³/atom.

---

Y2IrAu: relaxed, PBE.

The structure belongs to space group Fm-3m (No. 225); the cell edges are 7.041, 7.041 and 7.041 Å and the angles 90.00°, 90.00° and 90.00°. Symmetry generates all atoms from Y at (0.250, 0.250, 0.250), Ir at (0.000, 0.000, 0.000) and Au at (0.000, 0.000, 0.500).

The total energy comes out at -28.32 eV per formula unit. The calculation puts the formation energy at -0.81 eV per atom. The calculated volume comes out at 21.81 Å³/atom.